# 1
Material: V2CrCoH
Method: DFT, PBE
State: optimized geometry

The calculation puts the magnetic moment at 0.0 μB per cell. Its mass density is 6.9 Mg/m³. The density of states at the Fermi level comes out at 5.55 states/eV/f.u. The polymorph energy (0 for the lowest one) comes out at 62.7 meV per atom.

It has space group P4/mmm (No. 123), with a = 3.901 Å, b = 3.901 Å, c = 3.359 Å, α = 90.00°, β = 90.00° and γ = 90.00°. Symmetry generates all atoms from V at (0.000, 0.500, 0.000), Cr at (0.000, 0.000, 0.500), Co at (0.500, 0.500, 0.500) and H at (0.000, 0.000, 0.000).

=====

# 2
Material: VCrCo2H
Method: DFT, PBE
State: optimized geometry

The calculation puts the magnetic moment at 0.0 μB per cell. Its mass density is 7.8 Mg/m³. The density of states at the Fermi level comes out at 3.31 states/eV/f.u. The polymorph energy (0 for the lowest one) comes out at 9.7 meV per atom.

It has space group P4/mmm (No. 123), with a = 3.537 Å, b = 3.537 Å, c = 3.757 Å, α = 90.00°, β = 90.00° and γ = 90.00°. Symmetry generates all atoms from V at (0.000, 0.000, 0.000), Cr at (0.500, 0.500, 0.000), Co at (0.000, 0.500, 0.500) and H at (0.000, 0.000, 0.500).

=====

# 3
Material: V2CrCoH
Method: DFT, PBE
State: optimized geometry

The calculation puts the magnetic moment at 0.0 μB per cell. Its mass density is 7.0 Mg/m³. The density of states at the Fermi level comes out at 4.72 states/eV/f.u. The polymorph energy (0 for the lowest one) comes out at 0.0 meV per atom.

It has space group P4/mmm (No. 123), with a = 3.991 Å, b = 3.991 Å, c = 3.191 Å, α = 90.00°, β = 90.00° and γ = 90.00°. Symmetry generates all atoms from V at (0.000, 0.500, 0.000), Cr at (0.000, 0.000, 0.500), Co at (0.500, 0.500, 0.500) and H at (0.500, 0.500, 0.000).

=====

# 4
Material: VCr2CoH
Method: DFT, PBE
State: optimized geometry

The calculation puts the magnetic moment at 0.0 μB per cell. Its mass density is 7.2 Mg/m³. The density of states at the Fermi level comes out at 6.59 states/eV/f.u. The total energy comes out at -7.696 eV per atom.

It has space group P4/mmm (No. 123), with a = 3.601 Å, b = 3.601 Å, c = 3.797 Å, α = 90.00°, β = 90.00° and γ = 90.00°. Symmetry generates all atoms from V at (0.000, 0.000, 0.000), Cr at (0.000, 0.500, 0.500), Co at (0.500, 0.500, 0.000) and H at (0.000, 0.000, 0.500).

=====

# 5
Material: VCrCo2H
Method: DFT, PBE
State: optimized geometry

The calculation puts the magnetic moment at 0.0 μB per cell. Its mass density is 7.8 Mg/m³. The density of states at the Fermi level comes out at 3.38 states/eV/f.u. The polymorph energy (0 for the lowest one) comes out at 0.0 meV per atom.

It has space group P4/mmm (No. 123), with a = 3.548 Å, b = 3.548 Å, c = 3.729 Å, α = 90.00°, β = 90.00° and γ = 90.00°. Symmetry generates all atoms from V at (0.000, 0.000, 0.000), Cr at (0.500, 0.500, 0.000), Co at (0.000, 0.500, 0.500) and H at (0.500, 0.500, 0.500).

=====

# 6
Material: VCr2CoH
Method: DFT, PBE
State: optimized geometry

The calculation puts the magnetic moment at 0.0 μB per cell. Its mass density is 7.3 Mg/m³. The density of states at the Fermi level comes out at 6.94 states/eV/f.u. The total energy comes out at -7.695 eV per atom.

It has space group P4/mmm (No. 123), with a = 3.717 Å, b = 3.717 Å, c = 3.545 Å, α = 90.00°, β = 90.00° and γ = 90.00°. Symmetry generates all atoms from V at (0.000, 0.000, 0.000), Cr at (0.000, 0.500, 0.500), Co at (0.500, 0.500, 0.000) and H at (0.500, 0.500, 0.500).

=====

# 7
Material: Cr2CoHW
Method: DFT, PBE
State: optimized geometry

The calculation puts the magnetic moment at 0.0 μB per cell. Its mass density is 11.2 Mg/m³. The density of states at the Fermi level comes out at 5.60 states/eV/f.u. The total energy comes out at -8.430 eV per atom.

It has space group P4/mmm (No. 123), with a = 3.770 Å, b = 3.770 Å, c = 3.629 Å, α = 90.00°, β = 90.00° and γ = 90.00°. Symmetry generates all atoms from Cr at (0.000, 0.500, 0.000), Co at (0.000, 0.000, 0.500), H at (0.000, 0.000, 0.000) and W at (0.500, 0.500, 0.500).

=====

# 8
Material: CrCo2HW
Method: DFT, PBE
State: optimized geometry

The calculation puts the magnetic moment at 0.6 μB per cell. Its mass density is 11.7 Mg/m³. The density of states at the Fermi level comes out at 2.88 states/eV/f.u. The polymorph energy (0 for the lowest one) comes out at 76.0 meV per atom.

It has space group P4/mmm (No. 123), with a = 3.594 Å, b = 3.594 Å, c = 3.912 Å, α = 90.00°, β = 90.00° and γ = 90.00°. Symmetry generates all atoms from Cr at (0.000, 0.000, 0.000), Co at (0.000, 0.500, 0.500), H at (0.500, 0.500, 0.500) and W at (0.500, 0.500, 0.000).

=====

# 9
Material: CrCoHW2
Method: DFT, PBE
State: optimized geometry

The calculation puts the magnetic moment at 0.0 μB per cell. Its mass density is 14.1 Mg/m³. The density of states at the Fermi level comes out at 5.88 states/eV/f.u. The total energy comes out at -9.016 eV per atom.

It has space group P4/mmm (No. 123), with a = 4.075 Å, b = 4.075 Å, c = 3.408 Å, α = 90.00°, β = 90.00° and γ = 90.00°. Symmetry generates all atoms from Cr at (0.000, 0.000, 0.000), Co at (0.500, 0.500, 0.000), H at (0.500, 0.500, 0.500) and W at (0.000, 0.500, 0.500).

=====

# 10
Material: CrCo2HW
Method: DFT, PBE
State: optimized geometry

The calculation puts the magnetic moment at 0.8 μB per cell. Its mass density is 11.8 Mg/m³. The density of states at the Fermi level comes out at 2.60 states/eV/f.u. The polymorph energy (0 for the lowest one) comes out at 0.0 meV per atom.

It has space group P4/mmm (No. 123), with a = 3.615 Å, b = 3.615 Å, c = 3.812 Å, α = 90.00°, β = 90.00° and γ = 90.00°. Symmetry generates all atoms from Cr at (0.000, 0.000, 0.000), Co at (0.000, 0.500, 0.500), H at (0.000, 0.000, 0.500) and W at (0.500, 0.500, 0.000).

=====

# 11
Material: YCrCo2H
Method: DFT, PBE
State: optimized geometry

The calculation puts the magnetic moment at 0.0 μB per cell. Its mass density is 6.2 Mg/m³. The density of states at the Fermi level comes out at 5.28 states/eV/f.u. The total energy comes out at -6.324 eV per atom.

It has space group P4/mmm (No. 123), with a = 4.300 Å, b = 4.300 Å, c = 3.772 Å, α = 90.00°, β = 90.00° and γ = 90.00°. Symmetry generates all atoms from Y at (0.000, 0.000, 0.000), Cr at (0.500, 0.500, 0.500), Co at (0.000, 0.500, 0.500) and H at (0.500, 0.500, 0.000).

=====

# 12
Material: ZnCrCo2H
Method: DFT, PBE
State: optimized geometry

The calculation puts the magnetic moment at 3.1 μB per cell. Its mass density is 8.0 Mg/m³. The density of states at the Fermi level comes out at 4.37 states/eV/f.u. The total energy comes out at -5.622 eV per atom.

It has space group P4/mmm (No. 123), with a = 3.681 Å, b = 3.681 Å, c = 3.636 Å, α = 90.00°, β = 90.00° and γ = 90.00°. Symmetry generates all atoms from Zn at (0.000, 0.000, 0.000), Cr at (0.500, 0.500, 0.000), Co at (0.000, 0.500, 0.500) and H at (0.500, 0.500, 0.500).

=====

# 13
Material: Zr2CrCoH
Method: DFT, PBE
State: optimized geometry

The calculation puts the magnetic moment at 0.0 μB per cell. Its mass density is 7.1 Mg/m³. The density of states at the Fermi level comes out at 3.68 states/eV/f.u. The total energy comes out at -7.549 eV per atom.

It has space group P4/mmm (No. 123), with a = 4.525 Å, b = 4.525 Å, c = 3.344 Å, α = 90.00°, β = 90.00° and γ = 90.00°. Symmetry generates all atoms from Zr at (0.000, 0.500, 0.000), Cr at (0.000, 0.000, 0.500), Co at (0.500, 0.500, 0.500) and H at (0.000, 0.000, 0.000).

=====

# 14
Material: Zr2CrCoH
Method: DFT, PBE
State: optimized geometry

The calculation puts the magnetic moment at 1.0 μB per cell. Its mass density is 7.1 Mg/m³. The density of states at the Fermi level comes out at 5.34 states/eV/f.u. The total energy comes out at -7.549 eV per atom.

It has space group P4/mmm (No. 123), with a = 4.523 Å, b = 4.523 Å, c = 3.364 Å, α = 90.00°, β = 90.00° and γ = 90.00°. Symmetry generates all atoms from Zr at (0.000, 0.500, 0.000), Cr at (0.000, 0.000, 0.500), Co at (0.500, 0.500, 0.500) and H at (0.500, 0.500, 0.000).